Material: CuP
Method: DFT, GGA-PBEsol
State: optimized geometry

a b c (Å): 3.8034 3.8034 3.5460
angles (deg): 90.00 90.00 90.00
Last column: nearest neighbours and their distance in Å.
Space group P4/nmm (No. 129, origin choice 2)
Unique sites:
Cu 0.2500 0.2500 0.0008  8 P 2.60, 4 Cu 2.69
P 0.2500 0.7500 0.5000  8 Cu 2.60, 4 P 2.69

Values from the calculation:
**ΔH_f (0 K)**: 285.2 meV/atom
**E**: -4.7776 eV per atom
**Fermi-level density of states**: 1.5 states/eV/cell

---

Material: CuP2
Method: DFT, GGA-PBEsol
State: optimized geometry

a b c (Å): 11.6020 2.4664 6.3587
angles (deg): 90.00 103.26 90.00
Last column: nearest neighbours and their distance in Å.
Space group C2/m (No. 12)
Unique sites:
Cu 0.1055 0.0000 0.3993  5 P 2.35-2.48, 2 Cu 2.47
P 0.0358 0.5000 0.8479  4 P 2.27-2.47, 2 Cu 2.35
P 0.2024 0.5000 0.7098  3 P 2.30-2.47, 3 Cu 2.38-2.48

Values from the calculation:
**ΔH_f (0 K)**: 93.3 meV/atom
**E**: -5.2123 eV per atom
**Fermi-level density of states**: 3.2 states/eV/cell

---

What did the second record say?
Material: CuP2
Method: DFT, GGA-PBEsol
State: optimized geometry

a b c (Å): 11.6020 2.4664 6.3587
angles (deg): 90.00 103.26 90.00
Last column: nearest neighbours and their distance in Å.
Space group C2/m (No. 12)
Unique sites:
Cu 0.1055 0.0000 0.3993  5 P 2.35-2.48, 2 Cu 2.47
P 0.0358 0.5000 0.8479  4 P 2.27-2.47, 2 Cu 2.35
P 0.2024 0.5000 0.7098  3 P 2.30-2.47, 3 Cu 2.38-2.48

Values from the calculation:
**ΔH_f (0 K)**: 93.3 meV/atom
**E**: -5.2123 eV per atom
**Fermi-level density of states**: 3.2 states/eV/cell